Compound: Na2CoTeO4
Source: the Alexandria database
Functional: PBE+U
Structure: relaxed

Results
* space group: No. 1
* crystal system: triclinic
* total energy: -40.7 eV/cell
* M_tot: 1.0 μB per cell

a = 5.430 Å, b = 5.441 Å, c = 5.520 Å
α = 61.61°, β = 61.64°, γ = 87.51°
Fractional positions:
Na1 0.000 0.000 0.000
Na2 0.233 0.768 0.500
Co1 0.647 0.354 0.500
Te1 0.523 0.477 0.000
O1 0.380 0.179 0.471
O2 0.461 0.146 0.962
O3 0.821 0.620 0.529
O4 0.854 0.540 0.038